1.
A plane-wave DFT calculation with SCAN was carried out for In2TcW at its PBEsol-relaxed geometry.

The calculation puts the distance to the lowest polymorph of the same formula at 34 meV per atom. Its crystal system is orthorhombic.

a b c (Å): 3.231 4.735 9.107
angles (deg): 90.00 90.00 90.00
Space group Cmmm (No. 65)
Symmetry-distinct sites (fractional):
In1 0.000 0.000 0.243 (multiplicity 4)
Tc1 0.000 0.500 0.000 (multiplicity 2)
W1 0.000 0.500 0.500 (multiplicity 2)

2.
A plane-wave DFT calculation with SCAN was carried out for Tc8W at its PBEsol-relaxed geometry.

The raw total energy is -38.83 eV per atom. Its crystal system is tetragonal.

a b c (Å): 8.166 8.166 3.842
angles (deg): 90.00 90.00 90.00
Space group I4/mmm (No. 139)
Symmetry-distinct sites (fractional):
Tc1 0.000 0.338 0.000 (multiplicity 8)
Tc2 0.171 0.171 0.500 (multiplicity 8)
W1 0.000 0.000 0.000 (multiplicity 2)

3.
A plane-wave DFT calculation with SCAN was carried out for Ca5In at its PBEsol-relaxed geometry.

The calculation puts the distance to the lowest polymorph of the same formula at 18 meV per atom. Its crystal system is monoclinic.

a b c (Å): 13.291 4.074 8.303
angles (deg): 90.00 108.73 90.00
Space group Cm (No. 8)
Symmetry-distinct sites (fractional):
Ca1 0.000 0.000 0.000 (multiplicity 2)
Ca2 0.019 0.000 0.444 (multiplicity 2)
Ca3 0.195 0.500 0.844 (multiplicity 2)
Ca4 0.215 0.500 0.289 (multiplicity 2)
Ca5 0.357 0.000 0.645 (multiplicity 2)
In1 0.357 0.000 0.143 (multiplicity 2)

4.
A plane-wave DFT calculation with SCAN was carried out for SrMg2Pb at its PBEsol-relaxed geometry.

The raw total energy is -27.17 eV per atom. Its crystal system is tetragonal.

a b c (Å): 3.923 3.923 7.687
angles (deg): 90.00 90.00 90.00
Space group P4/mmm (No. 123)
Symmetry-distinct sites (fractional):
Sr1 0.000 0.000 0.000 (multiplicity 1)
Mg1 0.500 0.500 0.292 (multiplicity 2)
Pb1 0.000 0.000 0.500 (multiplicity 1)

5.
A plane-wave DFT calculation with SCAN was carried out for Ba2LiPt at its PBEsol-relaxed geometry.

The raw total energy is -38.36 eV per atom. Its crystal system is trigonal.

a b c (Å): 4.4445 4.4445 28.4249
angles (deg): 90.00 90.00 120.00
Space group R-3m (No. 166, hexagonal axes)
Symmetry-distinct sites (fractional):
Ba1 0.0000 0.0000 0.2269 (multiplicity 6)
Li1 0.0000 0.0000 0.0000 (multiplicity 3)
Pt1 0.0000 0.0000 0.5000 (multiplicity 3)

6.
A plane-wave DFT calculation with SCAN was carried out for TaPbC2 at its PBEsol-relaxed geometry.

The raw total energy is -39.88 eV per atom. Its crystal system is tetragonal.

a b c (Å): 5.248 5.248 9.807
angles (deg): 90.00 90.00 90.00
Space group I-42d (No. 122)
Symmetry-distinct sites (fractional):
Ta1 0.000 0.000 0.000 (multiplicity 4)
Pb1 0.000 0.000 0.500 (multiplicity 4)
C1 0.191 0.250 0.125 (multiplicity 8)

7.
A plane-wave DFT calculation with SCAN was carried out for Ir2WSe at its PBEsol-relaxed geometry.

For the uncorrected formation energy, the calculation gives 0.557 eV/atom. The calculation puts the distance to the lowest polymorph of the same formula at 183 meV per atom. Its crystal system is tetragonal.

a b c (Å): 4.721 4.721 2.771
angles (deg): 90.00 90.00 90.00
Space group P4/mmm (No. 123)
Symmetry-distinct sites (fractional):
Ir1 0.000 0.500 0.000 (multiplicity 2)
W1 0.000 0.000 0.500 (multiplicity 1)
Se1 0.500 0.500 0.500 (multiplicity 1)

8.
A plane-wave DFT calculation with SCAN was carried out for Sr2AlIn3 at its PBEsol-relaxed geometry.

The raw total energy is -25.94 eV per atom. Its crystal system is trigonal.

a b c (Å): 4.9237 4.9237 7.8328
angles (deg): 90.00 90.00 120.00
Space group P3m1 (No. 156)
Symmetry-distinct sites (fractional):
Sr1 0.0000 0.0000 0.0000 (multiplicity 1)
Sr2 0.0000 0.0000 0.4948 (multiplicity 1)
Al1 0.6667 0.3333 0.2003 (multiplicity 1)
In1 0.3333 0.6667 0.2817 (multiplicity 1)
In2 0.3333 0.6667 0.7026 (multiplicity 1)
In3 0.6667 0.3333 0.7983 (multiplicity 1)

9.
A plane-wave DFT calculation with SCAN was carried out for CuAu2Cl at its PBEsol-relaxed geometry.

For the uncorrected formation energy, the calculation gives 0.148 eV/atom. The calculation puts the distance to the lowest polymorph of the same formula at 102 meV per atom. Its crystal system is orthorhombic.

a b c (Å): 2.862 5.875 8.530
angles (deg): 90.00 90.00 90.00
Space group Imm2 (No. 44)
Symmetry-distinct sites (fractional):
Cu1 0.000 0.000 0.000 (multiplicity 2)
Au1 0.000 0.000 0.485 (multiplicity 2)
Au2 0.000 0.500 0.258 (multiplicity 2)
Cl1 0.000 0.500 0.705 (multiplicity 2)

10.
A plane-wave DFT calculation with SCAN was carried out for Te2Os at its PBEsol-relaxed geometry.

For the uncorrected formation energy, the calculation gives 1.592 eV/atom. Its crystal system is hexagonal.

a b c (Å): 5.0285 5.0285 2.9689
angles (deg): 90.00 90.00 120.00
Space group P6/mmm (No. 191)
Symmetry-distinct sites (fractional):
Te1 0.3333 0.6667 0.0000 (multiplicity 2)
Os1 0.0000 0.0000 0.5000 (multiplicity 1)

11.
A plane-wave DFT calculation with SCAN was carried out for BeSbOs at its PBEsol-relaxed geometry.

For the uncorrected formation energy, the calculation gives 0.459 eV/atom. Its crystal system is trigonal.

a b c (Å): 3.0221 3.0221 5.9152
angles (deg): 90.00 90.00 120.00
Space group P3m1 (No. 156)
Symmetry-distinct sites (fractional):
Be1 0.0000 0.0000 0.0000 (multiplicity 1)
Sb1 0.6667 0.3333 0.3807 (multiplicity 1)
Os1 0.3333 0.6667 0.7329 (multiplicity 1)

12.
A plane-wave DFT calculation with SCAN was carried out for LiAl2Cd at its PBEsol-relaxed geometry.

The raw total energy is -12.13 eV per atom. Its crystal system is tetragonal.

a b c (Å): 2.872 2.872 8.521
angles (deg): 90.00 90.00 90.00
Space group P4mm (No. 99)
Symmetry-distinct sites (fractional):
Li1 0.000 0.000 0.000 (multiplicity 1)
Al1 0.000 0.000 0.522 (multiplicity 1)
Al2 0.500 0.500 0.756 (multiplicity 1)
Cd1 0.500 0.500 0.251 (multiplicity 1)

13.
A plane-wave DFT calculation with SCAN was carried out for Sr5Ta4O15 at its PBEsol-relaxed geometry.

For the uncorrected formation energy, the calculation gives -3.303 eV/atom. The calculation puts the distance to the lowest polymorph of the same formula at 13 meV per atom. Its crystal system is trigonal.

a b c (Å): 5.6467 5.6467 11.4934
angles (deg): 90.00 90.00 120.00
Space group P-3m1 (No. 164)
Symmetry-distinct sites (fractional):
Sr1 0.0000 0.0000 0.0000 (multiplicity 1)
Sr2 0.3333 0.6667 0.4400 (multiplicity 2)
Sr3 0.3333 0.6667 0.7767 (multiplicity 2)
Ta1 0.0000 0.0000 0.3181 (multiplicity 2)
Ta2 0.3333 0.6667 0.1048 (multiplicity 2)
O1 0.0000 0.5000 0.0000 (multiplicity 3)
O2 0.1643 0.3286 0.1933 (multiplicity 6)
O3 0.1699 0.3398 0.6081 (multiplicity 6)

14.
A plane-wave DFT calculation with SCAN was carried out for Si2P at its PBEsol-relaxed geometry.

For the uncorrected formation energy, the calculation gives 0.338 eV/atom. The calculation puts the distance to the lowest polymorph of the same formula at 0 meV per atom. Its crystal system is hexagonal.

a b c (Å): 3.3621 3.3621 9.2954
angles (deg): 90.00 90.00 120.00
Space group P6_3/mmc (No. 194)
Symmetry-distinct sites (fractional):
Si1 0.3333 0.6667 0.0864 (multiplicity 4)
P1 0.0000 0.0000 0.2500 (multiplicity 2)

15.
A plane-wave DFT calculation with SCAN was carried out for K2TaAlSn at its PBEsol-relaxed geometry.

The raw total energy is -24.13 eV per atom. Its crystal system is tetragonal.

a b c (Å): 6.314 6.314 5.309
angles (deg): 90.00 90.00 90.00
Space group P4/mmm (No. 123)
Symmetry-distinct sites (fractional):
K1 0.000 0.500 0.000 (multiplicity 2)
Ta1 0.000 0.000 0.500 (multiplicity 1)
Al1 0.500 0.500 0.500 (multiplicity 1)
Sn1 0.000 0.000 0.000 (multiplicity 1)

16.
A plane-wave DFT calculation with SCAN was carried out for CdPt2Pb at its PBEsol-relaxed geometry.

The calculation puts the distance to the lowest polymorph of the same formula at 131 meV per atom. Its crystal system is cubic.

a b c (Å): 6.640 6.640 6.640
angles (deg): 90.00 90.00 90.00
Space group Fm-3m (No. 225)
Symmetry-distinct sites (fractional):
Cd1 0.000 0.000 0.000 (multiplicity 4)
Pt1 0.250 0.250 0.250 (multiplicity 8)
Pb1 0.000 0.000 0.500 (multiplicity 4)

17.
A plane-wave DFT calculation with SCAN was carried out for IrSIO2 at its PBEsol-relaxed geometry.

For the uncorrected formation energy, the calculation gives 0.518 eV/atom. Its crystal system is tetragonal.

a b c (Å): 3.767 3.767 5.393
angles (deg): 90.00 90.00 90.00
Space group P4/mmm (No. 123)
Symmetry-distinct sites (fractional):
Ir1 0.000 0.000 0.000 (multiplicity 1)
S1 0.500 0.500 0.000 (multiplicity 1)
I1 0.000 0.000 0.500 (multiplicity 1)
O1 0.000 0.500 0.500 (multiplicity 2)

18.
A plane-wave DFT calculation with SCAN was carried out for Dy2Re2Si2C at its PBEsol-relaxed geometry.

For the uncorrected formation energy, the calculation gives -0.671 eV/atom. Its crystal system is monoclinic.

a b c (Å): 10.812 3.940 6.857
angles (deg): 90.00 127.07 90.00
Space group C2/m (No. 12)
Symmetry-distinct sites (fractional):
Dy1 0.072 0.000 0.298 (multiplicity 4)
Re1 0.208 0.500 0.092 (multiplicity 4)
Si1 0.141 0.500 0.678 (multiplicity 4)
C1 0.000 0.500 0.000 (multiplicity 2)

19.
A plane-wave DFT calculation with SCAN was carried out for Ho5Tl3 at its PBEsol-relaxed geometry.

The calculation puts the distance to the lowest polymorph of the same formula at 7 meV per atom. Its crystal system is tetragonal.

a b c (Å): 7.933 7.933 13.849
angles (deg): 90.00 90.00 90.00
Space group I4/mcm (No. 140)
Symmetry-distinct sites (fractional):
Ho1 0.000 0.000 0.000 (multiplicity 4)
Ho2 0.160 0.340 0.153 (multiplicity 16)
Tl1 0.000 0.000 0.250 (multiplicity 4)
Tl2 0.136 0.364 0.500 (multiplicity 8)

20.
A plane-wave DFT calculation with SCAN was carried out for CaCu2As at its PBEsol-relaxed geometry.

The raw total energy is -15.08 eV per atom. Its crystal system is tetragonal.

a b c (Å): 3.437 3.437 5.847
angles (deg): 90.00 90.00 90.00
Space group P4/mmm (No. 123)
Symmetry-distinct sites (fractional):
Ca1 0.000 0.000 0.000 (multiplicity 1)
Cu1 0.500 0.500 0.291 (multiplicity 2)
As1 0.000 0.000 0.500 (multiplicity 1)

21.
A plane-wave DFT calculation with SCAN was carried out for TcGe3W at its PBEsol-relaxed geometry.

The raw total energy is -31.21 eV per atom. Its crystal system is cubic.

a b c (Å): 4.795 4.795 4.795
angles (deg): 90.00 90.00 90.00
Space group Pm-3m (No. 221)
Symmetry-distinct sites (fractional):
Tc1 0.000 0.000 0.000 (multiplicity 1)
Ge1 0.000 0.500 0.500 (multiplicity 3)
W1 0.500 0.500 0.500 (multiplicity 1)

22.
A plane-wave DFT calculation with SCAN was carried out for Ca2YCu at its PBEsol-relaxed geometry.

The calculation puts the distance to the lowest polymorph of the same formula at 0 meV per atom. Its crystal system is tetragonal.

a b c (Å): 3.527 3.527 9.281
angles (deg): 90.00 90.00 90.00
Space group P4mm (No. 99)
Symmetry-distinct sites (fractional):
Ca1 0.000 0.000 0.000 (multiplicity 1)
Ca2 0.500 0.500 0.335 (multiplicity 1)
Y1 0.500 0.500 0.693 (multiplicity 1)
Cu1 0.000 0.000 0.536 (multiplicity 1)

23.
A plane-wave DFT calculation with SCAN was carried out for SrCu2Sb at its PBEsol-relaxed geometry.

For the uncorrected formation energy, the calculation gives 0.102 eV/atom. Its crystal system is cubic.

a b c (Å): 6.908 6.908 6.908
angles (deg): 90.00 90.00 90.00
Space group F-43m (No. 216)
Symmetry-distinct sites (fractional):
Sr1 0.000 0.000 0.000 (multiplicity 4)
Cu1 0.000 0.000 0.500 (multiplicity 4)
Cu2 0.250 0.250 0.750 (multiplicity 4)
Sb1 0.250 0.250 0.250 (multiplicity 4)

24.
A plane-wave DFT calculation with SCAN was carried out for SrGe3P at its PBEsol-relaxed geometry.

The raw total energy is -17.79 eV per atom. Its crystal system is cubic.

a b c (Å): 4.867 4.867 4.867
angles (deg): 90.00 90.00 90.00
Space group Pm-3m (No. 221)
Symmetry-distinct sites (fractional):
Sr1 0.000 0.000 0.000 (multiplicity 1)
Ge1 0.000 0.500 0.500 (multiplicity 3)
P1 0.500 0.500 0.500 (multiplicity 1)

25.
A plane-wave DFT calculation with SCAN was carried out for Li2YCd at its PBEsol-relaxed geometry.

The calculation puts the distance to the lowest polymorph of the same formula at 0 meV per atom. Its crystal system is cubic.

a b c (Å): 6.809 6.809 6.809
angles (deg): 90.00 90.00 90.00
Space group Fm-3m (No. 225)
Symmetry-distinct sites (fractional):
Li1 0.250 0.250 0.250 (multiplicity 8)
Y1 0.000 0.000 0.000 (multiplicity 4)
Cd1 0.000 0.000 0.500 (multiplicity 4)

26.
A plane-wave DFT calculation with SCAN was carried out for TaMoIr2I at its PBEsol-relaxed geometry.

For the uncorrected formation energy, the calculation gives 2.297 eV/atom. Its crystal system is tetragonal.

a b c (Å): 4.725 4.725 4.726
angles (deg): 90.00 90.00 90.00
Space group P4/mmm (No. 123)
Symmetry-distinct sites (fractional):
Ta1 0.000 0.000 0.000 (multiplicity 1)
Mo1 0.500 0.500 0.000 (multiplicity 1)
Ir1 0.000 0.500 0.500 (multiplicity 2)
I1 0.500 0.500 0.500 (multiplicity 1)

27.
A plane-wave DFT calculation with SCAN was carried out for MnPIr2 at its PBEsol-relaxed geometry.

The raw total energy is -42.89 eV per atom. Its crystal system is orthorhombic.

a b c (Å): 2.825 3.779 5.051
angles (deg): 90.00 90.00 90.00
Space group Pmm2 (No. 25)
Symmetry-distinct sites (fractional):
Mn1 0.000 0.000 0.000 (multiplicity 1)
P1 0.500 0.500 0.327 (multiplicity 1)
Ir1 0.000 0.000 0.490 (multiplicity 1)
Ir2 0.500 0.500 0.828 (multiplicity 1)

28.
A plane-wave DFT calculation with SCAN was carried out for CaMnPb at its PBEsol-relaxed geometry.

The raw total energy is -34.69 eV per atom. Its crystal system is orthorhombic.

a b c (Å): 3.396 3.851 10.822
angles (deg): 90.00 90.00 90.00
Space group Imm2 (No. 44)
Symmetry-distinct sites (fractional):
Ca1 0.000 0.000 0.000 (multiplicity 2)
Mn1 0.000 0.000 0.310 (multiplicity 2)
Pb1 0.000 0.000 0.699 (multiplicity 2)